[1]
Computed, not measured: a relaxed Tm2Si2As3P crystal at the PBE-GGA level of DFT.

Output
- Calculated volume: 353 Å³/cell
- Total DFT energy (no corrections): -5.317 eV per atom

Geometry as CIF:
```
data_Tm2Si2As3P
_symmetry_space_group_name_H-M 'C 1 2 1'
_symmetry_Int_Tables_number 5
_symmetry_space_group_name_Hall 'C 2y'
_cell_length_a 9.023
_cell_length_b 6.660
_cell_length_c 6.888
_cell_angle_alpha 90.00
_cell_angle_beta 121.60
_cell_angle_gamma 90.00
loop_
_atom_site_label
_atom_site_type_symbol
_atom_site_fract_x
_atom_site_fract_y
_atom_site_fract_z
Tm1 Tm 0.143 0.000 0.354
Si1 Si 0.135 0.519 0.876
As1 As 0.000 0.344 0.500
As2 As 0.209 0.832 0.764
P1 P 0.000 0.720 0.000
```



[2]
Computed, not measured: a relaxed ZnSiAsP crystal at the PBE-GGA level of DFT.

Output
- Offset from the most stable computed form: 0 meV per atom
- Calculated volume: 330 Å³/cell
- Total DFT energy (no corrections): -4.439 eV per atom

Geometry as CIF:
```
data_ZnSiAsP
_symmetry_space_group_name_H-M 'C 1 c 1'
_symmetry_Int_Tables_number 9
_symmetry_space_group_name_Hall 'C -2yc'
_cell_length_a 7.832
_cell_length_b 7.832
_cell_length_c 6.627
_cell_angle_alpha 90.00
_cell_angle_beta 125.74
_cell_angle_gamma 90.00
loop_
_atom_site_label
_atom_site_type_symbol
_atom_site_fract_x
_atom_site_fract_y
_atom_site_fract_z
Zn1 Zn 0.000 0.133 0.000
Si1 Si 0.485 0.118 0.000
As1 As 0.359 0.368 0.750
P1 P 0.374 0.117 0.250
```



[3]
Computed, not measured: a relaxed Zn2Si2AsP3 crystal at the PBE-GGA level of DFT.

Output
- Calculated volume: 318 Å³/cell
- Total DFT energy (no corrections): -4.562 eV per atom

Geometry as CIF:
```
data_Zn2Si2AsP3
_symmetry_space_group_name_H-M 'C 1 2 1'
_symmetry_Int_Tables_number 5
_symmetry_space_group_name_Hall 'C 2y'
_cell_length_a 11.932
_cell_length_b 5.465
_cell_length_c 5.480
_cell_angle_alpha 90.00
_cell_angle_beta 116.97
_cell_angle_gamma 90.00
loop_
_atom_site_label
_atom_site_type_symbol
_atom_site_fract_x
_atom_site_fract_y
_atom_site_fract_z
Zn1 Zn 0.128 0.000 0.370
Si1 Si 0.127 0.485 0.884
As1 As 0.000 0.728 0.500
P1 P 0.000 0.257 0.000
P2 P 0.250 0.241 0.768
```



[4]
Computed, not measured: a relaxed ZnSiAsP crystal at the PBE-GGA level of DFT.

Output
- Offset from the most stable computed form: 4 meV per atom
- Calculated volume: 330 Å³/cell
- Total DFT energy (no corrections): -4.434 eV per atom

Geometry as CIF:
```
data_ZnSiAsP
_symmetry_space_group_name_H-M 'I 21 21 21'
_symmetry_Int_Tables_number 24
_symmetry_space_group_name_Hall 'I 2b 2c'
_cell_length_a 5.513
_cell_length_b 5.554
_cell_length_c 10.783
_cell_angle_alpha 90.00
_cell_angle_beta 90.00
_cell_angle_gamma 90.00
loop_
_atom_site_label
_atom_site_type_symbol
_atom_site_fract_x
_atom_site_fract_y
_atom_site_fract_z
Zn1 Zn 0.000 0.250 0.117
Si1 Si 0.000 0.250 0.621
As1 As 0.240 0.500 0.750
P1 P 0.250 0.021 0.500
```



[5]
Computed, not measured: a relaxed Tm2Sn2AsP3 crystal at the PBE-GGA level of DFT.

Output
- Calculated volume: 365 Å³/cell
- Total DFT energy (no corrections): -5.387 eV per atom

Geometry as CIF:
```
data_Tm2Sn2AsP3
_symmetry_space_group_name_H-M 'C 1 2 1'
_symmetry_Int_Tables_number 5
_symmetry_space_group_name_Hall 'C 2y'
_cell_length_a 13.234
_cell_length_b 3.955
_cell_length_c 7.066
_cell_angle_alpha 90.00
_cell_angle_beta 99.28
_cell_angle_gamma 90.00
loop_
_atom_site_label
_atom_site_type_symbol
_atom_site_fract_x
_atom_site_fract_y
_atom_site_fract_z
Tm1 Tm 0.124 0.000 0.383
Sn1 Sn 0.129 0.494 0.867
As1 As 0.000 0.992 0.000
P1 P 0.000 0.500 0.500
P2 P 0.249 0.996 0.744
```



[6]
Computed, not measured: a relaxed ZnSnAsP crystal at the PBE-GGA level of DFT.

Output
- Offset from the most stable computed form: 3 meV per atom
- Calculated volume: 393 Å³/cell
- Total DFT energy (no corrections): -4.020 eV per atom

Geometry as CIF:
```
data_ZnSnAsP
_symmetry_space_group_name_H-M 'I 21 21 21'
_symmetry_Int_Tables_number 24
_symmetry_space_group_name_Hall 'I 2b 2c'
_cell_length_a 5.797
_cell_length_b 5.812
_cell_length_c 11.676
_cell_angle_alpha 90.00
_cell_angle_beta 90.00
_cell_angle_gamma 90.00
loop_
_atom_site_label
_atom_site_type_symbol
_atom_site_fract_x
_atom_site_fract_y
_atom_site_fract_z
Zn1 Zn 0.000 0.250 0.116
Sn1 Sn 0.000 0.250 0.624
As1 As 0.219 0.000 0.250
P1 P 0.250 0.483 0.000
```